Computed, not measured: a relaxed structure of NbBIr at the GGA-PBE level of DFT.

Lattice parameters (Å, degrees): 3.2618 3.2618 13.4906 90.00 90.00 120.00
Element x y z (fractional)
Nb 0.0000 0.0000 0.0895
Nb 0.3333 0.6667 0.7562
Nb 0.6667 0.3333 0.4229
Ir 0.0000 0.0000 0.5837
Ir 0.3333 0.6667 0.2504
Ir 0.6667 0.3333 0.9170
B 0.0000 0.0000 0.3099
B 0.3333 0.6667 0.9765
B 0.6667 0.3333 0.6432

Properties
The space group is R3m, No. 160. The total energy is -8.912 eV/atom. The energy relative to the elements comes out at -0.38 eV/atom.

---

Computed, not measured: a relaxed structure of NbBIr at the GGA-PBE level of DFT.

Lattice parameters (Å, degrees): 2.9553 7.1898 7.3869 90.00 90.00 90.00
Element x y z (fractional)
Nb 0.0000 0.5000 0.0152
Nb 0.5000 0.0000 0.5152
Nb 0.0000 0.0000 0.1396
Nb 0.5000 0.5000 0.6396
Ir 0.0000 0.8087 0.7839
Ir 0.0000 0.1913 0.7839
Ir 0.5000 0.3087 0.2839
Ir 0.5000 0.6913 0.2839
B 0.0000 0.7263 0.4924
B 0.0000 0.2737 0.4924
B 0.5000 0.2263 0.9924
B 0.5000 0.7737 0.9924

Properties
The space group is Imm2, No. 44. The total energy is -9.010 eV/atom. The energy relative to the elements comes out at -0.47 eV/atom.

---

Computed, not measured: a relaxed structure of NbBIr at the GGA-PBE level of DFT.

Lattice parameters (Å, degrees): 3.5069 6.1640 10.5872 90.00 90.00 90.00
Element x y z (fractional)
Nb 0.0000 0.2225 0.9594
Nb 0.0000 0.7775 0.0406
Nb 0.0000 0.2225 0.5406
Nb 0.0000 0.7775 0.4594
Nb 0.0000 0.1463 0.2500
Nb 0.0000 0.8537 0.7500
B 0.5000 0.0485 0.0856
B 0.5000 0.9515 0.9144
B 0.5000 0.0485 0.4144
B 0.5000 0.9515 0.5856
B 0.0000 0.5671 0.2500
B 0.0000 0.4329 0.7500
Ir 0.5000 0.4241 0.1236
Ir 0.5000 0.5759 0.8764
Ir 0.5000 0.4241 0.3764
Ir 0.5000 0.5759 0.6236
Ir 0.5000 0.8035 0.2500
Ir 0.5000 0.1965 0.7500

Properties
The space group is Pmma, No. 51. The total energy is -9.127 eV/atom. The energy relative to the elements comes out at -0.59 eV/atom.

---

Computed, not measured: a relaxed structure of NbBIr2 at the GGA-PBE level of DFT.

Lattice parameters (Å, degrees): 5.2059 5.2059 6.3967 65.99 65.99 90.00
Element x y z (fractional)
Nb 0.0000 0.0000 0.0000
Nb 0.7500 0.2500 0.5000
Ir 0.5457 0.1250 0.2500
Ir 0.2043 0.6250 0.2500
Ir 0.3750 0.4543 0.7500
Ir 0.8750 0.7957 0.7500
B 0.5000 0.5000 0.0000
B 0.2500 0.7500 0.5000

Properties
The space group is I-42d, No. 122. The total energy is -8.477 eV/atom. The energy relative to the elements comes out at 0.14 eV/atom.

---

Computed, not measured: a relaxed structure of NbBIr at the GGA-PBE level of DFT.

Lattice parameters (Å, degrees): 2.7792 2.7792 9.9125 90.00 90.00 90.00
Element x y z (fractional)
Nb 0.0000 0.0000 0.6414
Nb 0.5000 0.5000 0.1414
Ir 0.0000 0.0000 0.3617
Ir 0.5000 0.5000 0.8617
B 0.0000 0.0000 0.9716
B 0.5000 0.5000 0.4716

Properties
The space group is I4mm, No. 107. The total energy is -8.893 eV/atom. The energy relative to the elements comes out at -0.36 eV/atom.

---

Computed, not measured: a relaxed structure of Nb4BIr2 at the GGA-PBE level of DFT.

Lattice parameters (Å, degrees): 4.2412 4.2412 7.3137 73.14 73.14 90.00
Element x y z (fractional)
Nb 0.1774 0.1774 0.6452
Nb 0.8226 0.8226 0.3548
Nb 0.0000 0.5000 0.0000
Nb 0.5000 0.0000 0.0000
Ir 0.3623 0.3623 0.2755
Ir 0.6377 0.6377 0.7245
B 0.0000 0.0000 0.0000

Properties
The space group is I4/mmm, No. 139. The total energy is -9.279 eV/atom. The energy relative to the elements comes out at -0.04 eV/atom.

---

Computed, not measured: a relaxed structure of NbBIr at the GGA-PBE level of DFT.

Lattice parameters (Å, degrees): 6.4368 3.2704 9.3528 90.00 127.88 90.00
Element x y z (fractional)
Nb 0.6047 0.0000 0.4489
Nb 0.6047 0.5000 0.9489
Nb 0.0657 0.0000 0.2052
Nb 0.0657 0.5000 0.7052
Ir 0.7870 0.0000 0.8038
Ir 0.7870 0.5000 0.3038
Ir 0.3276 0.0000 0.0447
Ir 0.3276 0.5000 0.5447
B 0.3681 0.0000 0.7128
B 0.3681 0.5000 0.2128
B 0.0337 0.0000 0.4816
B 0.0337 0.5000 0.9816

Properties
The space group is Cm, No. 8. The total energy is -8.947 eV/atom. The energy relative to the elements comes out at -0.41 eV/atom.

---

Computed, not measured: a relaxed structure of NbBIr at the GGA-PBE level of DFT.

Lattice parameters (Å, degrees): 2.8192 2.8973 9.6575 90.00 90.00 90.00
Element x y z (fractional)
Nb 0.5000 0.0000 0.6469
Nb 0.5000 0.5000 0.1469
Ir 0.0000 0.0000 0.3685
Ir 0.0000 0.5000 0.8685
B 0.5000 0.0000 0.9593
B 0.5000 0.5000 0.4593

Properties
The space group is Amm2, No. 38. The total energy is -8.900 eV/atom. The energy relative to the elements comes out at -0.36 eV/atom.

---

Computed, not measured: a relaxed structure of NbBIr at the GGA-PBE level of DFT.

Lattice parameters (Å, degrees): 7.0586 2.9188 10.3397 90.00 131.62 90.00
Element x y z (fractional)
Nb 0.1898 0.0000 0.3382
Nb 0.1898 0.5000 0.8382
Nb 0.5324 0.0000 0.2207
Nb 0.5324 0.5000 0.7207
Ir 0.6930 0.0000 0.5682
Ir 0.6930 0.5000 0.0682
Ir 0.0802 0.0000 0.5555
Ir 0.0802 0.5000 0.0555
B 0.9128 0.0000 0.8460
B 0.9128 0.5000 0.3460
B 0.7794 0.0000 0.9617
B 0.7794 0.5000 0.4617

Properties
The space group is Cm, No. 8. The total energy is -8.952 eV/atom. The energy relative to the elements comes out at -0.42 eV/atom.

---

Computed, not measured: a relaxed structure of NbBIr at the GGA-PBE level of DFT.

Lattice parameters (Å, degrees): 2.8811 5.9267 9.1480 90.00 90.00 90.00
Element x y z (fractional)
Ir 0.7500 0.3861 0.8799
Ir 0.2500 0.1139 0.3799
Ir 0.2500 0.6139 0.1201
Ir 0.7500 0.8861 0.6201
Nb 0.7500 0.3424 0.5935
Nb 0.2500 0.1576 0.0935
Nb 0.2500 0.6576 0.4065
Nb 0.7500 0.8424 0.9065
B 0.7500 0.3629 0.2890
B 0.2500 0.1371 0.7890
B 0.2500 0.6371 0.7110
B 0.7500 0.8629 0.2110

Properties
The space group is Pnma, No. 62. The total energy is -8.674 eV/atom. The energy relative to the elements comes out at -0.14 eV/atom.

---

Computed, not measured: a relaxed structure of NbBIr at the GGA-PBE level of DFT.

Lattice parameters (Å, degrees): 6.0137 3.1735 10.3564 90.00 124.54 90.00
Element x y z (fractional)
Nb 0.5425 0.0000 0.4818
Nb 0.5425 0.5000 0.9818
Nb 0.1055 0.0000 0.0405
Nb 0.1055 0.5000 0.5405
Ir 0.5595 0.0000 0.7496
Ir 0.5595 0.5000 0.2496
Ir 0.9690 0.0000 0.2539
Ir 0.9690 0.5000 0.7539
B 0.2270 0.0000 0.7835
B 0.2270 0.5000 0.2835
B 0.8038 0.0000 0.3876
B 0.8038 0.5000 0.8876

Properties
The space group is Cm, No. 8. The total energy is -8.947 eV/atom. The energy relative to the elements comes out at -0.41 eV/atom.

---

Computed, not measured: a relaxed structure of Nb4B2Ir5 at the GGA-PBE level of DFT.

Lattice parameters (Å, degrees): 3.0769 6.4256 8.0967 97.48 90.00 90.00
Element x y z (fractional)
Nb 0.5000 0.7830 0.5669
Nb 0.5000 0.1871 0.8371
Nb 0.5000 0.2170 0.4331
Nb 0.5000 0.8129 0.1629
B 0.0000 0.0666 0.6061
B 0.0000 0.9334 0.3939
Ir 0.0000 0.5502 0.3318
Ir 0.0000 0.1563 0.1462
Ir 0.0000 0.5000 0.0000
Ir 0.0000 0.8437 0.8538
Ir 0.0000 0.4498 0.6682

Properties
The space group is P2/m, No. 10. The total energy is -9.409 eV/atom. The energy relative to the elements comes out at -0.51 eV/atom.

---

Computed, not measured: a relaxed structure of NbB4Ir at the GGA-PBE level of DFT.

Lattice parameters (Å, degrees): 3.3602 5.9565 11.5229 90.00 90.00 90.00
Element x y z (fractional)
Nb 0.0000 0.6220 0.3716
Nb 0.0000 0.3780 0.6284
Nb 0.0000 0.1220 0.1284
Nb 0.0000 0.8780 0.8716
B 0.5000 0.8172 0.1841
B 0.5000 0.1828 0.8159
B 0.5000 0.3172 0.3159
B 0.5000 0.6828 0.6841
B 0.5000 0.8725 0.0342
B 0.5000 0.1275 0.9658
B 0.5000 0.3725 0.4658
B 0.5000 0.6275 0.5342
B 0.5000 0.8786 0.4550
B 0.5000 0.1214 0.5450
B 0.5000 0.3786 0.0450
B 0.5000 0.6214 0.9550
B 0.5000 0.9434 0.3094
B 0.5000 0.0566 0.6906
B 0.5000 0.4434 0.1906
B 0.5000 0.5566 0.8094
Ir 0.0000 0.6301 0.1111
Ir 0.0000 0.3699 0.8889
Ir 0.0000 0.1301 0.3889
Ir 0.0000 0.8699 0.6111

Properties
The space group is Pbam, No. 55. The total energy is -7.810 eV/atom. The energy relative to the elements comes out at -0.20 eV/atom.

---

Computed, not measured: a relaxed structure of NbBIr at the GGA-PBE level of DFT.

Lattice parameters (Å, degrees): 5.2999 2.9458 10.8088 90.00 106.40 90.00
Element x y z (fractional)
Nb 0.2318 0.0000 0.3756
Nb 0.2318 0.5000 0.8756
Nb 0.6323 0.0000 0.1390
Nb 0.6323 0.5000 0.6390
Ir 0.7212 0.0000 0.8643
Ir 0.7212 0.5000 0.3643
Ir 0.1143 0.0000 0.0847
Ir 0.1143 0.5000 0.5847
B 0.3313 0.0000 0.7213
B 0.3313 0.5000 0.2213
B 0.7823 0.0000 0.5128
B 0.7823 0.5000 0.0128

Properties
The space group is Cm, No. 8. The total energy is -8.917 eV/atom. The energy relative to the elements comes out at -0.38 eV/atom.

---

Computed, not measured: a relaxed structure of Nb3BIr at the GGA-PBE level of DFT.

Lattice parameters (Å, degrees): 4.8256 4.8256 4.8256 90.00 90.00 90.00
Element x y z (fractional)
Nb 0.0000 0.5000 0.0000
Nb 0.0000 0.0000 0.5000
Nb 0.5000 0.0000 0.0000
Ir 0.0000 0.0000 0.0000
B 0.5000 0.5000 0.5000

Properties
The calculation puts the energy above the lowest structure with this stoichiometry at 1800 meV/atom. The space group is Pm-3m, No. 221. The total energy is -7.422 eV/atom. The energy relative to the elements comes out at 1.73 eV/atom.

---

Computed, not measured: a relaxed structure of NbB2Ir2 at the GGA-PBE level of DFT.

Lattice parameters (Å, degrees): 6.5633 6.5633 2.7386 90.00 90.00 90.00
Element x y z (fractional)
Nb 0.0000 0.0000 0.0000
Nb 0.5000 0.5000 0.0000
Ir 0.1473 0.6473 0.5000
Ir 0.6473 0.8527 0.5000
Ir 0.8527 0.3527 0.5000
Ir 0.3527 0.1473 0.5000
B 0.3461 0.8461 0.0000
B 0.8461 0.6539 0.0000
B 0.6539 0.1539 0.0000
B 0.1539 0.3461 0.0000

Properties
The space group is P4/mbm, No. 127. The total energy is -8.343 eV/atom. The energy relative to the elements comes out at -0.11 eV/atom.

---

Computed, not measured: a relaxed structure of NbBIr at the GGA-PBE level of DFT.

Lattice parameters (Å, degrees): 6.9627 3.1187 9.1406 90.00 128.29 90.00
Element x y z (fractional)
Nb 0.4599 0.0000 0.4378
Nb 0.4599 0.5000 0.9378
Nb 0.1695 0.0000 0.0330
Nb 0.1695 0.5000 0.5330
Ir 0.6486 0.0000 0.7966
Ir 0.6486 0.5000 0.2966
Ir 0.9058 0.0000 0.1920
Ir 0.9058 0.5000 0.6920
B 0.1516 0.0000 0.7378
B 0.1516 0.5000 0.2378
B 0.8720 0.0000 0.4963
B 0.8720 0.5000 0.9963

Properties
The space group is Cm, No. 8. The total energy is -8.992 eV/atom. The energy relative to the elements comes out at -0.46 eV/atom.

---

Computed, not measured: a relaxed structure of Nb3BIr at the GGA-PBE level of DFT.

Lattice parameters (Å, degrees): 4.3150 4.3150 4.3150 90.00 90.00 90.00
Element x y z (fractional)
Nb 0.0000 0.5000 0.0000
Nb 0.0000 0.0000 0.5000
Nb 0.5000 0.0000 0.0000
Ir 0.5000 0.5000 0.5000
B 0.0000 0.0000 0.0000

Properties
The calculation puts the energy above the lowest structure with this stoichiometry at 0 meV/atom. The space group is Pm-3m, No. 221. The total energy is -9.222 eV/atom. The energy relative to the elements comes out at -0.07 eV/atom.

---

Computed, not measured: a relaxed structure of NbB2Ir2 at the GGA-PBE level of DFT.

Lattice parameters (Å, degrees): 3.8317 3.8317 5.1048 67.96 67.96 90.00
Element x y z (fractional)
Nb 0.0000 0.0000 0.0000
Ir 0.3555 0.3555 0.2890
Ir 0.6445 0.6445 0.7110
B 0.7500 0.2500 0.5000
B 0.2500 0.7500 0.5000

Properties
The space group is I4/mmm, No. 139. The total energy is -8.359 eV/atom. The energy relative to the elements comes out at -0.13 eV/atom.

---

Computed, not measured: a relaxed structure of NbBIrRu2 at the GGA-PBE level of DFT.

Lattice parameters (Å, degrees): 4.1093 4.1093 4.0794 90.00 90.00 90.00
Element x y z (fractional)
Ru 0.0000 0.5000 0.0000
Ru 0.5000 0.0000 0.0000
Nb 0.5000 0.5000 0.5000
Ir 0.0000 0.0000 0.5000
B 0.0000 0.0000 0.0000

Properties
The space group is P4/mmm, No. 123. The total energy is -9.104 eV/atom. The energy relative to the elements comes out at -0.27 eV/atom.